A PBEsol-optimized structure of Tl2TcMo, computed with meta-GGA SCAN.

Structure (extended XYZ):
```
4
Lattice="-1.691 -2.422 -0.268 2.886 -0.465 0.501 -1.584 0.089 9.206" Properties=species:S:1:pos:R:3 pbc="T T T"
Mo -0.195 -1.399 4.720
Tc 0.597 -1.443 0.117
Tl -0.389 0.022 2.259
Tl -1.195 0.067 6.947
```

Results
excess energy over the best structure of this formula in the dataset = 0.106 kcal/mol of atoms
energy of formation = 0.8979 eV per atom

A PBEsol-optimized structure of TiBN2F, computed with meta-GGA SCAN.

Structure (extended XYZ):
```
5
Lattice="-3.010 -1.928 1.319 2.040 -3.323 -0.203 1.253 0.546 3.657" Properties=species:S:1:pos:R:3 pbc="T T T"
N 0.627 0.273 1.829
N 1.020 -1.661 -0.102
F -1.505 -0.964 0.660
B 0.141 -2.353 2.387
Ti 0.000 0.000 0.000
```

Results
ΔE_f (raw) = 0.33 eV/atom

A PBEsol-optimized structure of Hf2Ru2F, computed with meta-GGA SCAN.

Structure (extended XYZ):
```
5
Lattice="-0.544 -2.802 -4.096 4.097 2.862 0.540 4.423 -2.143 0.879" Properties=species:S:1:pos:R:3 pbc="T T T"
Ru 2.491 -1.607 -2.274
Ru 5.485 -0.476 -0.403
Hf 4.957 -2.278 -2.143
Hf 3.018 0.194 -0.534
F 0.000 0.000 0.000
```

Results
ΔE_f (raw) = -0.19 eV/atom

A PBEsol-optimized structure of TlRuBr, computed with meta-GGA SCAN.

Structure (extended XYZ):
```
3
Lattice="-1.634 1.731 -2.371 -1.806 -3.813 -1.539 -2.114 2.362 3.182" Properties=species:S:1:pos:R:3 pbc="T T T"
Ru -2.012 0.304 1.608
Tl -2.726 -0.889 -1.151
Br 0.000 0.000 0.000
```

Results
ΔE_f (raw) = 0.73 eV/atom

A PBEsol-optimized structure of GdCu4Pd, computed with meta-GGA SCAN.

Structure (extended XYZ):
```
6
Lattice="-2.410 -3.522 -2.473 2.403 -2.799 -3.275 0.879 -4.752 0.991" Properties=species:S:1:pos:R:3 pbc="T T T"
Gd 0.654 -8.305 -3.568
Cu 0.770 -6.537 -1.279
Cu -0.889 -5.917 -3.026
Cu 0.326 -4.141 -1.779
Cu 1.538 -5.552 -3.430
Pd 0.000 0.000 0.000
```

Results
excess energy over the best structure of this formula in the dataset = 0.000 kcal/mol of atoms
energy of formation = -0.3330 eV per atom

A PBEsol-optimized structure of Al2ZnOsAu, computed with meta-GGA SCAN.

Structure (extended XYZ):
```
5
Lattice="4.607 0.000 0.000 0.000 4.607 0.000 0.000 0.000 5.115" Properties=species:S:1:pos:R:3 pbc="T T T"
Os 0.000 0.000 2.558
Zn 2.303 2.303 2.558
Au 0.000 0.000 0.000
Al 0.000 2.303 0.000
Al 2.303 0.000 0.000
```

Results
energy of formation = 1.0457 eV per atom

A PBEsol-optimized structure of YP2RuCl, computed with meta-GGA SCAN.

Structure (extended XYZ):
```
5
Lattice="-2.395 -1.642 -3.458 2.493 -3.764 0.060 -3.088 -1.996 3.086" Properties=species:S:1:pos:R:3 pbc="T T T"
Y -1.495 -3.701 -0.155
Ru 0.000 0.000 0.000
P 1.247 -1.882 0.030
P -1.197 -0.821 -1.729
Cl -1.544 -0.998 1.543
```

Results
ΔE_f (raw) = -0.32 eV/atom

A PBEsol-optimized structure of TcAg5, computed with meta-GGA SCAN.

Structure (extended XYZ):
```
6
Lattice="-2.126 1.128 -1.240 -2.194 -2.613 4.340 1.837 6.140 2.435" Properties=species:S:1:pos:R:3 pbc="T T T"
Ag -2.492 4.616 5.514
Ag -2.019 0.125 3.576
Ag -1.524 1.902 1.386
Ag 0.746 3.554 1.954
Ag -0.933 2.724 4.076
Tc -0.783 5.476 3.366
```

Results
excess energy over the best structure of this formula in the dataset = 0.000 kcal/mol of atoms
energy of formation = 0.3446 eV per atom

no.,total magnetization (μB/f.u.)
1,1.34
2,0.52
3,0.62
4,0.00
5,7.59
6,2.61
7,0.00
8,0.72